Entry from the Alexandria database: a geometry-optimized Li5HgIrN2 structure (PBE-GGA).

Output
Uncorrected formation energy = -0.28 eV per atom
Volume = 136.33 Å³ per cell

Geometry as POSCAR:
```
Li5HgIrN2
1.0
4.213 0.000 0.000
0.000 4.213 0.000
0.000 0.000 7.681
N Ir Li Hg
2 1 5 1
direct
0.000 0.000 0.244 N
0.000 0.000 0.756 N
0.000 0.000 0.000 Ir
0.500 0.000 0.786 Li
0.500 0.000 0.214 Li
0.000 0.500 0.214 Li
0.000 0.500 0.786 Li
0.000 0.000 0.500 Li
0.500 0.500 0.500 Hg
```